This record from OQMD describes a relaxed structure of FeTcHgGe. The functional is PBE-GGA.

Theoretical density ... 10.79 g/cm³
Energy above the lowest structure with this stoichiometry ... 267 meV per atom
Calculated total energy ... -5.1645 eV per atom

Lattice parameters (Å, degrees): 4.5299 4.5299 4.5299 60.00 60.00 60.00
Fractional coordinates of all 4 atoms:
Fe 0.0000 0.0000 0.0000
Tc 0.2500 0.2500 0.2500
Hg 0.5000 0.5000 0.5000
Ge 0.7500 0.7500 0.7500

***

This record from OQMD describes a relaxed structure of FeTcHgGe. The functional is PBE-GGA.

Theoretical density ... 11.41 g/cm³
Energy above the lowest structure with this stoichiometry ... 0 meV per atom
Calculated total energy ... -5.4311 eV per atom

Lattice parameters (Å, degrees): 4.4458 4.4458 4.4458 60.00 60.00 60.00
Fractional coordinates of all 4 atoms:
Fe 0.0000 0.0000 0.0000
Tc 0.5000 0.5000 0.5000
Hg 0.2500 0.2500 0.2500
Ge 0.7500 0.7500 0.7500

***

This record from OQMD describes a relaxed structure of ZnFeHgGe. The functional is PBE-GGA.

Theoretical density ... 9.61 g/cm³
Energy above the lowest structure with this stoichiometry ... 0 meV per atom
Calculated total energy ... -3.2097 eV per atom

Lattice parameters (Å, degrees): 4.5849 4.5849 4.5849 60.00 60.00 60.00
Fractional coordinates of all 4 atoms:
Zn 0.0000 0.0000 0.0000
Fe 0.5000 0.5000 0.5000
Hg 0.7500 0.7500 0.7500
Ge 0.2500 0.2500 0.2500

***

This record from OQMD describes a relaxed structure of ZnFeHgGe. The functional is PBE-GGA.

Theoretical density ... 9.60 g/cm³
Energy above the lowest structure with this stoichiometry ... 56 meV per atom
Calculated total energy ... -3.1535 eV per atom

Lattice parameters (Å, degrees): 4.5872 4.5872 4.5872 60.00 60.00 60.00
Fractional coordinates of all 4 atoms:
Zn 0.0000 0.0000 0.0000
Fe 0.7500 0.7500 0.7500
Hg 0.2500 0.2500 0.2500
Ge 0.5000 0.5000 0.5000